--- P ---
Crystalline Sr2TiRe at its relaxed geometry, computed with PBE-GGA.

The crystal system is tetragonal. The calculation puts the volume at 39.44 Å³/atom.

The space group is I-42d (No. 122) and the conventional cell measures 11.760, 11.760 and 4.562 Å, with angles of 90.00, 90.00 and 90.00 degrees. The inequivalent atoms are Sr at (0.079, 0.750, 0.125), Ti at (0.000, 0.000, 0.500) and Re at (0.000, 0.000, 0.000).

--- Q ---
Crystalline Sr2TiRe at its relaxed geometry, computed with PBE-GGA.

The crystal system is cubic. The calculation puts the volume at 25.73 Å³/atom.

The space group is Fm-3m (No. 225) and the conventional cell measures 7.439, 7.439 and 7.439 Å, with angles of 90.00, 90.00 and 90.00 degrees. The inequivalent atoms are Sr at (0.250, 0.250, 0.250), Ti at (0.000, 0.000, 0.000) and Re at (0.000, 0.000, 0.500).

The structure with the most favorable energy is P; the runner-up is 456 meV/atom above it.

--- P ---
Crystalline SrTlRe3 at its relaxed geometry, computed with PBE-GGA.

The crystal system is cubic. The calculation puts the volume at 26.17 Å³/atom.

The space group is Pm-3m (No. 221) and the conventional cell measures 5.077, 5.077 and 5.077 Å, with angles of 90.00, 90.00 and 90.00 degrees. The inequivalent atoms are Sr at (0.000, 0.000, 0.000), Tl at (0.500, 0.500, 0.500) and Re at (0.000, 0.500, 0.500).

--- Q ---
Crystalline SrTlRe3 at its relaxed geometry, computed with PBE-GGA.

The crystal system is cubic. The calculation puts the volume at 23.57 Å³/atom.

The space group is Pm-3m (No. 221) and the conventional cell measures 4.903, 4.903 and 4.903 Å, with angles of 90.00, 90.00 and 90.00 degrees. The inequivalent atoms are Sr at (0.000, 0.000, 0.000), Tl at (0.500, 0.500, 0.500) and Re at (0.000, 0.000, 0.500).

The structure with the most favorable energy is P; the runner-up is 911 meV/atom above it.